No. 1
Compound: ScFe2GePt
Source: the Alexandria database
Functional: PBE-GGA
Structure: optimized geometry

* ΔH_f (0 K): 543.3 meV/atom
* magnetization: 6.339 μB per cell

a b c (Å): 4.709 4.709 4.933
angles (deg): 90.00 90.00 90.00
Space group P4/mmm (No. 123)
Symmetry-distinct sites (fractional):
Sc (0.000, 0.000, 0.000) x1
Fe (0.000, 0.500, 0.500) x2
Ge (0.500, 0.500, 0.000) x1
Pt (0.000, 0.000, 0.500) x1

---

No. 2
Compound: Sm2FeGe4Pt3
Source: the Alexandria database
Functional: PBE-GGA
Structure: optimized geometry

* ΔH_f (0 K): -798.2 meV/atom
* magnetization: 0.000 μB per cell

a b c (Å): 4.204 4.204 10.461
angles (deg): 90.00 90.00 90.00
Space group P-4m2 (No. 115)
Symmetry-distinct sites (fractional):
Sm (0.000, 0.500, 0.246) x2
Fe (0.500, 0.500, 0.000) x1
Ge (0.000, 0.000, 0.500) x1
Ge (0.000, 0.500, 0.874) x2
Ge (0.500, 0.500, 0.500) x1
Pt (0.000, 0.000, 0.000) x1
Pt (0.000, 0.500, 0.637) x2

---

No. 3
Compound: Sm2FeGe3Pt4
Source: the Alexandria database
Functional: PBE-GGA
Structure: optimized geometry

* ΔH_f (0 K): -830.3 meV/atom
* magnetization: 2.866 μB per cell

a b c (Å): 4.278 4.278 10.285
angles (deg): 90.00 90.00 90.00
Space group P-4m2 (No. 115)
Symmetry-distinct sites (fractional):
Sm (0.000, 0.500, 0.244) x2
Fe (0.500, 0.500, 0.000) x1
Ge (0.000, 0.000, 0.000) x1
Ge (0.000, 0.500, 0.635) x2
Pt (0.000, 0.000, 0.500) x1
Pt (0.000, 0.500, 0.871) x2
Pt (0.500, 0.500, 0.500) x1

---

No. 4
Compound: FeSnGe2Pt
Source: the Alexandria database
Functional: PBE-GGA
Structure: optimized geometry

* ΔH_f (0 K): 1517.6 meV/atom
* magnetization: 0.084 μB per cell

a b c (Å): 5.158 5.158 4.784
angles (deg): 90.00 90.00 90.00
Space group P4/mmm (No. 123)
Symmetry-distinct sites (fractional):
Fe (0.000, 0.000, 0.000) x1
Sn (0.000, 0.000, 0.500) x1
Ge (0.000, 0.500, 0.500) x2
Pt (0.500, 0.500, 0.000) x1

---

No. 5
Compound: Tb2FeGe4Pt3
Source: the Alexandria database
Functional: PBE-GGA
Structure: optimized geometry

* ΔH_f (0 K): -787.9 meV/atom
* magnetization: 0.000 μB per cell

a b c (Å): 4.106 4.106 10.775
angles (deg): 90.00 90.00 90.00
Space group P-4m2 (No. 115)
Symmetry-distinct sites (fractional):
Tb (0.000, 0.500, 0.239) x2
Fe (0.500, 0.500, 0.000) x1
Ge (0.000, 0.000, 0.500) x1
Ge (0.000, 0.500, 0.874) x2
Ge (0.500, 0.500, 0.500) x1
Pt (0.000, 0.000, 0.000) x1
Pt (0.000, 0.500, 0.645) x2

---

No. 6
Compound: FeTcGePt2
Source: the Alexandria database
Functional: PBE-GGA
Structure: optimized geometry

* ΔH_f (0 K): 1164.7 meV/atom
* magnetization: 2.010 μB per cell

a b c (Å): 4.872 4.872 4.390
angles (deg): 90.00 90.00 90.00
Space group P4/mmm (No. 123)
Symmetry-distinct sites (fractional):
Fe (0.000, 0.000, 0.000) x1
Tc (0.000, 0.000, 0.500) x1
Ge (0.500, 0.500, 0.000) x1
Pt (0.000, 0.500, 0.500) x2

---

No. 7
Compound: TiFeGePt
Source: the Alexandria database
Functional: PBE-GGA
Structure: optimized geometry

* ΔH_f (0 K): -438.4 meV/atom
* magnetization: 7.387 μB per cell

a b c (Å): 6.126 6.126 6.126
angles (deg): 90.00 90.00 90.00
Space group F-43m (No. 216)
Symmetry-distinct sites (fractional):
Ti (0.000, 0.000, 0.000) x4
Fe (0.250, 0.250, 0.250) x4
Ge (0.000, 0.000, 0.500) x4
Pt (0.250, 0.250, 0.750) x4

---

No. 8
Compound: U2FeGe4Pt3
Source: the Alexandria database
Functional: PBE-GGA
Structure: optimized geometry

* ΔH_f (0 K): -470.2 meV/atom
* magnetization: 2.400 μB per cell

a b c (Å): 4.260 4.260 10.095
angles (deg): 90.00 90.00 90.00
Space group P-4m2 (No. 115)
Symmetry-distinct sites (fractional):
U (0.000, 0.500, 0.235) x2
Fe (0.500, 0.500, 0.000) x1
Ge (0.000, 0.000, 0.500) x1
Ge (0.000, 0.500, 0.871) x2
Ge (0.500, 0.500, 0.500) x1
Pt (0.000, 0.000, 0.000) x1
Pt (0.000, 0.500, 0.630) x2

---

No. 9
Compound: FeGePtW2
Source: the Alexandria database
Functional: PBE-GGA
Structure: optimized geometry

* ΔH_f (0 K): 1500.3 meV/atom
* magnetization: 0.072 μB per cell

a b c (Å): 4.592 4.592 4.185
angles (deg): 90.00 90.00 90.00
Space group P4/mmm (No. 123)
Symmetry-distinct sites (fractional):
Fe (0.000, 0.000, 0.000) x1
Ge (0.000, 0.000, 0.500) x1
Pt (0.500, 0.500, 0.000) x1
W (0.000, 0.500, 0.500) x2

---

No. 10
Compound: Y2FeGe4Pt3
Source: the Alexandria database
Functional: PBE-GGA
Structure: optimized geometry

* ΔH_f (0 K): -784.9 meV/atom
* magnetization: 0.000 μB per cell

a b c (Å): 4.099 4.099 10.797
angles (deg): 90.00 90.00 90.00
Space group P-4m2 (No. 115)
Symmetry-distinct sites (fractional):
Y (0.000, 0.500, 0.238) x2
Fe (0.500, 0.500, 0.000) x1
Ge (0.000, 0.000, 0.500) x1
Ge (0.000, 0.500, 0.874) x2
Ge (0.500, 0.500, 0.500) x1
Pt (0.000, 0.000, 0.000) x1
Pt (0.000, 0.500, 0.645) x2

---

No. 11
Compound: Y2FeGe3Pt4
Source: the Alexandria database
Functional: PBE-GGA
Structure: optimized geometry

* ΔH_f (0 K): -815.0 meV/atom
* magnetization: 2.815 μB per cell

a b c (Å): 4.209 4.209 10.422
angles (deg): 90.00 90.00 90.00
Space group P-4m2 (No. 115)
Symmetry-distinct sites (fractional):
Y (0.000, 0.500, 0.245) x2
Fe (0.500, 0.500, 0.000) x1
Ge (0.000, 0.000, 0.000) x1
Ge (0.000, 0.500, 0.637) x2
Pt (0.000, 0.000, 0.500) x1
Pt (0.000, 0.500, 0.869) x2
Pt (0.500, 0.500, 0.500) x1

---

No. 12
Compound: ZnFeGePt
Source: the Alexandria database
Functional: PBE-GGA
Structure: optimized geometry

* ΔH_f (0 K): -126.3 meV/atom
* magnetization: 7.104 μB per cell

a b c (Å): 6.073 6.073 6.073
angles (deg): 90.00 90.00 90.00
Space group F-43m (No. 216)
Symmetry-distinct sites (fractional):
Zn (0.000, 0.000, 0.000) x4
Fe (0.250, 0.250, 0.250) x4
Ge (0.000, 0.000, 0.500) x4
Pt (0.250, 0.250, 0.750) x4

---

No. 13
Compound: Pu3Fe2Ge7
Source: the Alexandria database
Functional: PBE-GGA
Structure: optimized geometry

* ΔH_f (0 K): -372.0 meV/atom
* magnetization: 13.521 μB per cell

a b c (Å): 4.197 4.204 12.811
angles (deg): 90.00 99.40 90.00
Space group P2/m (No. 10)
Symmetry-distinct sites (fractional):
Pu (0.000, 0.000, 0.000) x1
Pu (0.316, 0.500, 0.634) x2
Fe (0.127, 0.000, 0.256) x2
Ge (0.088, 0.500, 0.174) x2
Ge (0.220, 0.000, 0.441) x2
Ge (0.413, 0.000, 0.826) x2
Ge (0.500, 0.500, 0.000) x1